Here is crystalline EuHoTlPt at its relaxed geometry from the Alexandria database. Energies are from PBE.

a = 5.2174 Å, b = 5.2174 Å, c = 5.2174 Å
α = 60.00°, β = 60.00°, γ = 60.00°
Last column: nearest neighbours and their distance in Å.
Atoms (fractional coordinates):
Tl 0.2500 0.2500 0.2500  4 Ho 3.19, 4 Eu 3.19
Eu 0.0000 0.0000 0.0000  4 Tl 3.19, 4 Pt 3.19
Pt 0.7500 0.7500 0.7500  4 Ho 3.19, 4 Eu 3.19
Ho 0.5000 0.5000 0.5000  4 Pt 3.19, 4 Tl 3.19

Properties
Its space group is F-43m. Its energy relative to the elements is -0.61 eV/atom.

Here is crystalline EuHoZnPt at its relaxed geometry from the Alexandria database. Energies are from PBE.

a = 5.0443 Å, b = 5.0443 Å, c = 5.0443 Å
α = 60.00°, β = 60.00°, γ = 60.00°
Last column: nearest neighbours and their distance in Å.
Atoms (fractional coordinates):
Zn 0.2500 0.2500 0.2500  4 Ho 3.09, 4 Eu 3.09
Pt 0.7500 0.7500 0.7500  4 Ho 3.09, 4 Eu 3.09
Eu 0.0000 0.0000 0.0000  4 Pt 3.09, 4 Zn 3.09
Ho 0.5000 0.5000 0.5000  4 Pt 3.09, 4 Zn 3.09

Properties
Its space group is F-43m. Its energy relative to the elements is -0.67 eV/atom.

Here is crystalline Eu2HoPu at its relaxed geometry from the Alexandria database. Energies are from PBE.

a = 3.5830 Å, b = 3.5830 Å, c = 12.3684 Å
α = 81.67°, β = 81.67°, γ = 60.00°
Last column: nearest neighbours and their distance in Å.
Atoms (fractional coordinates):
Ho 0.5000 0.5000 0.5000  6 Ho 3.58, 6 Eu 3.67
Pu 0.0000 0.0000 0.0000  6 Pu 3.58, 6 Eu 3.69
Eu 0.2497 0.2497 0.2509  6 Eu 3.58, 3 Ho 3.67, 3 Pu 3.69
Eu 0.7503 0.7503 0.7491  6 Eu 3.58, 3 Ho 3.67, 3 Pu 3.69

Properties
Its space group is R-3m. Its energy relative to the elements is 0.24 eV/atom.

Here is crystalline EuHoPu at its relaxed geometry from the Alexandria database. Energies are from PBE.

a = 3.5276 Å, b = 3.5276 Å, c = 8.1848 Å
α = 102.44°, β = 102.44°, γ = 90.00°
Last column: nearest neighbours and their distance in Å.
Atoms (fractional coordinates):
Ho 0.3242 0.3242 0.6484  4 Pu 3.45, 4 Ho 3.53, 4 Eu 3.75
Eu 0.0041 0.0041 0.0082  4 Eu 3.53, 4 Pu 3.61, 4 Ho 3.75
Pu 0.6717 0.6717 0.3434  4 Ho 3.45, 4 Pu 3.53, 4 Eu 3.61

Properties
Its space group is I4mm. Its energy relative to the elements is 0.19 eV/atom.

Here is crystalline EuHo2Re at its relaxed geometry from the Alexandria database. Energies are from PBE.

a = 3.2377 Å, b = 3.2377 Å, c = 11.7051 Å
α = 82.05°, β = 82.05°, γ = 60.00°
Last column: nearest neighbours and their distance in Å.
Atoms (fractional coordinates):
Ho 0.0768 0.0768 0.7695  1 Re 2.66
Ho 0.9232 0.9232 0.2305  1 Re 2.66
Eu 0.5000 0.5000 0.5000  6 Eu 3.24
Re 0.0000 0.0000 0.0000  2 Ho 2.66

Properties
Its space group is R-3m. Its energy relative to the elements is 0.86 eV/atom.

Here is crystalline EuHoRe4 at its relaxed geometry from the Alexandria database. Energies are from PBE.

a = 5.4372 Å, b = 5.4372 Å, c = 5.4372 Å
α = 60.00°, β = 60.00°, γ = 60.00°
Last column: nearest neighbours and their distance in Å.
Atoms (fractional coordinates):
Re 0.6249 0.6249 0.1252  6 Re 2.72
Eu 0.0000 0.0000 0.0000  12 Re 3.19, 4 Ho 3.33
Re 0.6249 0.1252 0.6249  6 Re 2.72
Re 0.1252 0.6249 0.6249  6 Re 2.72
Re 0.6249 0.6249 0.6249  6 Re 2.72
Ho 0.2500 0.2500 0.2500  12 Re 3.19, 4 Eu 3.33

Properties
Its space group is F-43m. Its energy relative to the elements is 0.01 eV/atom.